Material: Y5Co
Method: DFT, PBE
State: optimized geometry

Structure (extended XYZ):
```
6
Lattice="3.575 0.000 0.000 1.787 6.018 0.003 0.000 2.986 7.827" Properties=species:S:1:pos:R:3 pbc="T T T"
Co 3.575 3.153 7.396
Y 1.787 2.048 0.522
Y 3.575 5.020 1.850
Y 3.575 1.663 3.478
Y 3.575 7.293 6.436
Y 1.787 4.321 5.109
```

Computed properties:
The value obtained for the offset from the most stable computed form is 0.0000 eV per atom.

Material: LaPr3Al2
Method: DFT, PBE
State: optimized geometry

Structure (extended XYZ):
```
12
Lattice="-0.857 -5.121 -1.189 -0.812 -1.399 6.613 -9.746 1.819 -0.811" Properties=species:S:1:pos:R:3 pbc="T T T"
La -4.850 -1.767 -0.827
La -6.192 -2.291 2.402
Pr -2.648 -3.219 3.844
Pr -7.194 0.092 4.791
Pr -1.266 -1.287 6.456
Pr -8.672 -1.319 0.002
Pr -9.668 1.057 2.416
Pr -3.456 0.169 1.761
Al -9.295 -2.010 3.425
Al -2.058 -2.585 0.687
Al -6.582 0.784 1.369
Al -4.036 -0.467 4.921
```

Computed properties:
The value obtained for the electronic total energy is -56.343 eV/cell.

Material: LiPI2
Method: DFT, PBE
State: optimized geometry

Structure (extended XYZ):
```
4
Lattice="5.180 -0.792 1.014 1.609 -4.554 2.271 2.761 -3.572 -2.847" Properties=species:S:1:pos:R:3 pbc="T T T"
P 4.775 -4.459 0.219
I 7.163 -6.689 0.329
I 2.388 -2.230 0.110
Li 0.000 0.000 0.000
```

Computed properties:
The uncorrected formation energy comes out at 292 meV per atom. The value obtained for the offset from the most stable computed form is 0.2822 eV per atom.